Record 1
The following is a PBE calculation of a relaxed structure of BaCu2Cl8, from the Alexandria database.

Values from the calculation:
Crystal system: tetragonal
E_form (uncorrected) (eV per atom): -0.894

abc: 7.040 7.040 12.762
angles: 90.00 90.00 90.00
Space group I422 (No. 97)
Asymmetric unit:
Ba 0.000 0.000 0.000 x2
Cu 0.000 0.500 0.250 x4
Cl 0.145 0.333 0.630 x16

Record 2
The following is a PBE calculation of a relaxed structure of Th2PaIr3, from the Alexandria database.

Values from the calculation:
Crystal system: orthorhombic
Formation energy from the elements (kJ/mol of formula units): -549

abc: 8.175 11.573 24.488
angles: 90.00 90.00 90.00
Space group Fddd (No. 70, origin choice 2)
Asymmetric unit:
Th 0.125 0.125 0.042 x16
Th 0.125 0.125 0.375 x16
Pa 0.125 0.125 0.541 x16
Ir 0.113 0.375 0.875 x16
Ir 0.119 0.369 0.711 x32

Record 3
The following is a PBE calculation of a relaxed structure of BaSr2Sc, from the Alexandria database.

Values from the calculation:
Crystal system: orthorhombic
Formation energy from the elements (kJ/mol of formula units): 126

abc: 7.998 11.328 4.003
angles: 90.00 90.00 90.00
Space group Cmmm (No. 65)
Asymmetric unit:
Ba 0.000 0.000 0.000 x2
Sr 0.250 0.250 0.500 x4
Sc 0.000 0.500 0.000 x2

For reference, final energy by record: -34.72 -56.61 -10.31 eV/f.u..